CaCu2Au: single point on PBEsol structure, meta-GGA SCAN. Values from VASP.

Structure (Quantum ESPRESSO input):
```
&SYSTEM
  ibrav = 0, nat = 4, ntyp = 3
/
ATOMIC_SPECIES
Cu 63.55 Cu.upf
Au 196.97 Au.upf
Ca 40.08 Ca.upf
ATOMIC_POSITIONS crystal
Cu 0.000 0.000 0.059
Au 0.000 0.000 0.459
Cu 0.500 0.500 0.226
Ca 0.500 0.500 0.756
CELL_PARAMETERS angstrom
-2.760 -1.539 -0.862
-0.218 -1.290 3.002
-3.381 4.998 1.902
```

Properties
- symmetry = P4mm (99)
- energy relative to the elements (eV/atom) = -0.2110